## w
SrCoSN2 | PBE | optimized geometry

Cell lengths 4.719, 4.719, 5.881 Å; angles 90.00, 90.00, 90.00 degrees
Fractional positions:
1 N 0.500 0.000 0.000
2 Sr 0.000 0.000 0.000
3 S 0.000 0.000 0.500
4 N 0.000 0.500 0.000
5 Co 0.500 0.500 0.500

Output
ρ   2.62 g/cm³
D(E_F)   6.04 states/eV/f.u.

***

## x
SrCoSN2 | PBE | optimized geometry

Cell lengths 3.928, 3.928, 4.852 Å; angles 90.00, 90.00, 90.00 degrees
Fractional positions:
1 Sr 0.500 0.500 0.500
2 S 0.000 0.000 0.500
3 Co 0.000 0.000 0.000
4 N 0.500 0.000 0.000
5 N 0.000 0.500 0.000

Output
ρ   4.58 g/cm³
D(E_F)   2.72 states/eV/f.u.

***

x has the most favorable energy; the next structure is 167.2 kJ/mol of atoms above.